(1)
Density functional theory data (PBEsol) for an optimized crystal structure of Mg2MnZn.

Properties
The space group is Pm, No. 6. As for the energy of formation: 0.1998 eV/atom. The mass density is 4.09 g/cm3.

Cell: 2.9044 4.3951 5.5312 Å, 90.00 103.49 90.00°
With the nearest neighbours (Å) after each atom.
Fractional coordinates of all 4 atoms:
Mg: 0.0000 0.0000 0.0000  3 Zn 2.81-2.93, 4 Mn 2.83-2.91, 4 Mg 2.90-3.09
Mg: 0.2995 0.5000 0.6743  4 Zn 2.82-2.94, 3 Mn 2.84-2.93, 4 Mg 2.90-3.09
Mn: 0.6228 0.5000 0.2113  2 Zn 2.57, 3 Mg 2.83-2.84
Zn: 0.6654 0.0000 0.4581  2 Mn 2.57, 3 Mg 2.81-2.82



(2)
Density functional theory data (PBEsol) for an optimized crystal structure of MgZrMn.

Properties
The space group is F-43m, No. 216. As for the energy of formation: 1.1296 eV/atom. The mass density is 4.23 g/cm3.

Cell: 4.5562 4.5562 4.5562 Å, 60.00 60.00 60.00°
With the nearest neighbours (Å) after each atom.
Fractional coordinates of all 3 atoms:
Mg: 0.0000 0.0000 0.0000  4 Zr 2.79
Zr: 0.7500 0.7500 0.7500  4 Mn 2.79, 4 Mg 2.79
Mn: 0.5000 0.5000 0.5000  4 Zr 2.79



(3)
Density functional theory data (PBEsol) for an optimized crystal structure of MgZrMn2.

Properties
The space group is Fm-3m, No. 225. As for the energy of formation: 0.2575 eV/atom. The mass density is 6.04 g/cm3.

Cell: 4.4407 4.4407 4.4407 Å, 60.00 60.00 60.00°
With the nearest neighbours (Å) after each atom.
Fractional coordinates of all 4 atoms:
Mg: 0.0000 0.0000 0.0000  8 Mn 2.72
Zr: 0.5000 0.5000 0.5000  8 Mn 2.72
Mn: 0.2500 0.2500 0.2500  4 Zr 2.72, 4 Mg 2.72
Mn: 0.7500 0.7500 0.7500  4 Zr 2.72, 4 Mg 2.72



(4)
Density functional theory data (PBEsol) for an optimized crystal structure of Mg4ZrMn.

Properties
The space group is F-43m, No. 216. As for the energy of formation: 0.4153 eV/atom. The mass density is 3.31 g/cm3.

Cell: 5.5659 5.5659 5.5659 Å, 60.00 60.00 60.00°
With the nearest neighbours (Å) after each atom.
Fractional coordinates of all 6 atoms:
Mg: 0.1251 0.1251 0.1251  6 Mg 2.78
Mg: 0.1251 0.1251 0.6248  6 Mg 2.78
Mg: 0.1251 0.6248 0.1251  6 Mg 2.78
Mg: 0.6248 0.1251 0.1251  6 Mg 2.78
Zr: 0.7500 0.7500 0.7500  12 Mg 3.26, 4 Mn 3.41
Mn: 0.5000 0.5000 0.5000  12 Mg 3.26, 4 Zr 3.41



(5)
Density functional theory data (PBEsol) for an optimized crystal structure of MgZr2Mn.

Properties
The space group is P4/mmm, No. 123. As for the energy of formation: 0.0075 eV/atom. The mass density is 5.65 g/cm3.

Cell: 3.0995 3.0995 8.0032 Å, 90.00 90.00 90.00°
With the nearest neighbours (Å) after each atom.
Fractional coordinates of all 4 atoms:
Mg: 0.0000 0.0000 0.0000  4 Mg 3.10, 8 Zr 3.29
Zr: 0.5000 0.5000 0.3072  4 Mn 2.68
Zr: 0.5000 0.5000 0.6928  4 Mn 2.68
Mn: 0.0000 0.0000 0.5000  8 Zr 2.68



(6)
Density functional theory data (PBEsol) for an optimized crystal structure of MgMo.

Properties
The space group is Fd-3m, No. 227. As for the energy of formation: 0.3913 eV/atom. The mass density is 6.10 g/cm3. The value obtained for the energy relative to the lowest polymorph listed for this composition is 0.0 meV/atom.

Cell: 4.5237 4.5237 4.5237 Å, 60.00 60.00 60.00°
With the nearest neighbours (Å) after each atom.
Fractional coordinates of all 4 atoms:
Mg: 0.1250 0.1250 0.1250  4 Mg 2.77, 4 Mo 2.77
Mg: 0.8750 0.8750 0.8750  4 Mo 2.77, 4 Mg 2.77
Mo: 0.3750 0.3750 0.3750  4 Mo 2.77, 4 Mg 2.77
Mo: 0.6250 0.6250 0.6250  4 Mo 2.77, 4 Mg 2.77



(7)
Density functional theory data (PBEsol) for an optimized crystal structure of MgMo3.

Properties
The space group is P4/mmm, No. 123. As for the energy of formation: 0.4337 eV/atom. The mass density is 8.05 g/cm3. The value obtained for the energy relative to the lowest polymorph listed for this composition is 9.1 meV/atom.

Cell: 2.6329 2.6329 9.2890 Å, 90.00 90.00 90.00°
With the nearest neighbours (Å) after each atom.
Fractional coordinates of all 4 atoms:
Mg: 0.0000 0.0000 0.0000  4 Mg 2.63
Mo: 0.0000 0.0000 0.5000  12 Mo 2.63-2.95
Mo: 0.5000 0.5000 0.2543  8 Mo 2.63-2.95
Mo: 0.5000 0.5000 0.7457  8 Mo 2.63-2.95



(8)
Density functional theory data (PBEsol) for an optimized crystal structure of MgMo.

Properties
The space group is Pm-3m, No. 221. As for the energy of formation: 0.9204 eV/atom. The mass density is 6.02 g/cm3. The value obtained for the energy relative to the lowest polymorph listed for this composition is 529.2 meV/atom.

Cell: 3.2136 3.2136 3.2136 Å, 90.00 90.00 90.00°
With the nearest neighbours (Å) after each atom.
Fractional coordinates of all 2 atoms:
Mg: 0.0000 0.0000 0.0000  8 Mo 2.78
Mo: 0.5000 0.5000 0.5000  8 Mg 2.78